Entry 1:
A relaxed TaTeMoN2 crystal, computed with PBEsol.

a = 4.003 Å, b = 4.003 Å, c = 5.661 Å
α = 90.00°, β = 90.00°, γ = 90.00°
Positions (direct):
Ta 0.000 0.000 0.000
Te 0.000 0.000 0.500
Mo 0.500 0.500 0.500
N 0.000 0.500 0.000
N 0.500 0.000 0.000

Summary:
theoretical density	7.9	Mg/m³
raw formation energy	16.89	kcal/mol of atoms

Entry 2:
A relaxed Dy3Ge13Os4 crystal, computed with PBEsol.

a = 8.955 Å, b = 8.955 Å, c = 8.955 Å
α = 90.00°, β = 90.00°, γ = 90.00°
Positions (direct):
Dy 0.000 0.250 0.500
Dy 0.000 0.750 0.500
Dy 0.250 0.500 0.000
Dy 0.500 0.000 0.250
Dy 0.500 0.000 0.750
Dy 0.750 0.500 0.000
Ge 0.000 0.000 0.000
Ge 0.000 0.299 0.145
Ge 0.000 0.299 0.855
Ge 0.000 0.701 0.145
Ge 0.000 0.701 0.855
Ge 0.145 0.000 0.299
Ge 0.145 0.000 0.701
Ge 0.201 0.500 0.355
Ge 0.201 0.500 0.645
Ge 0.299 0.145 0.000
Ge 0.299 0.855 0.000
Ge 0.355 0.201 0.500
Ge 0.355 0.799 0.500
Ge 0.500 0.355 0.201
Ge 0.500 0.355 0.799
Ge 0.500 0.500 0.500
Ge 0.500 0.645 0.201
Ge 0.500 0.645 0.799
Ge 0.645 0.201 0.500
Ge 0.645 0.799 0.500
Ge 0.701 0.145 0.000
Ge 0.701 0.855 0.000
Ge 0.799 0.500 0.355
Ge 0.799 0.500 0.645
Ge 0.855 0.000 0.299
Ge 0.855 0.000 0.701
Os 0.250 0.250 0.250
Os 0.250 0.250 0.750
Os 0.250 0.750 0.250
Os 0.250 0.750 0.750
Os 0.750 0.250 0.250
Os 0.750 0.250 0.750
Os 0.750 0.750 0.250
Os 0.750 0.750 0.750

Summary:
theoretical density	10.1	Mg/m³
formation energy from the elements	-0.394	eV per atom

Entry 3:
A relaxed Ca2Sc crystal, computed with PBEsol.

a = 5.777 Å, b = 5.777 Å, c = 6.944 Å
α = 90.00°, β = 90.00°, γ = 120.00°
Positions (direct):
Ca 0.000 0.000 0.000
Ca 0.000 0.000 0.500
Ca 0.333 0.667 0.250
Ca 0.667 0.333 0.750
Sc 0.333 0.667 0.750
Sc 0.667 0.333 0.250

Summary:
theoretical density	2.1	Mg/m³
formation energy from the elements	0.306	eV per atom
relative energy among the computed polymorphs	112	meV per atom

Entry 4:
A relaxed Mn5Si crystal, computed with PBEsol.

a = 8.721 Å, b = 2.753 Å, c = 5.535 Å
α = 90.00°, β = 108.63°, γ = 90.00°
Positions (direct):
Mn 0.000 0.000 0.000
Mn 0.163 0.500 0.338
Mn 0.170 0.500 0.829
Mn 0.330 0.000 0.171
Mn 0.337 0.000 0.662
Mn 0.500 0.500 0.000
Mn 0.663 0.000 0.338
Mn 0.670 0.000 0.829
Mn 0.830 0.500 0.171
Mn 0.837 0.500 0.662
Si 0.000 0.000 0.500
Si 0.500 0.500 0.500

Summary:
theoretical density	8.0	Mg/m³
raw formation energy	-3.57	kcal/mol of atoms

Which value of theoretical density does entry 1 give? 7.9 Mg/m³